## Ca2AcNbO6 (PBE)

Data for a geometry-optimized Ca2AcNbO6 structure.

Summary:
Its uncorrected formation energy is -2.980 eV per atom. The value obtained for the total magnetization is 0.00 μB per atom.

a = 5.8654 Å, b = 5.8654 Å, c = 15.3351 Å
α = 90.00°, β = 90.00°, γ = 120.00°
With the nearest neighbours (Å) after each atom.
Space group R3 (No. 146, hexagonal axes)
Inequivalent atoms, fractional coordinates:
1 Ca 0.0000 0.0000 0.0000 x3  6 O 2.28-2.47
2 Ca 0.0000 0.0000 0.4950 x3  6 O 2.41
3 Ac 0.0000 0.0000 0.2231 x3  3 O 2.39
4 Nb 0.0000 0.0000 0.7066 x3  6 O 1.99-2.11
5 O 0.0107 0.7380 0.6142 x9  1 Nb 2.11, 1 Ca 2.28
6 O 0.0179 0.3876 0.4345 x9  1 Nb 1.99


## RbNaB2H6 (PBE)

Data for a geometry-optimized RbNaB2H6 structure.

Summary:
The value obtained for the total magnetization is 0.17 μB per atom. For the total energy, the calculation gives -109.3 eV for the cell shown.

a = 4.5762 Å, b = 4.5762 Å, c = 22.8773 Å
α = 90.00°, β = 90.00°, γ = 120.00°
With the nearest neighbours (Å) after each atom.
Space group R-3m (No. 166, hexagonal axes)
Inequivalent atoms, fractional coordinates:
1 Rb 0.0000 0.0000 0.0000 x3  12 H 2.99
2 Na 0.0000 0.0000 0.5000 x3  6 H 2.38
3 B 0.0000 0.0000 0.2433 x6  3 H 1.21
4 H 0.0296 0.5148 0.9160 x18  1 B 1.21


## Er2Cd5Pb (PBE)

Data for a geometry-optimized Er2Cd5Pb structure.

Summary:
Its energy of formation is -0.274 eV/atom. The value obtained for the total magnetization is 0.00 μB per atom.

a = 6.5756 Å, b = 13.1734 Å, c = 4.4745 Å
α = 90.00°, β = 90.00°, γ = 90.00°
With the nearest neighbours (Å) after each atom.
Space group Pbam (No. 55)
Inequivalent atoms, fractional coordinates:
1 Er 0.2304 0.1193 0.0000 x4  2 Pb 3.13, 10 Cd 3.23-3.35
2 Cd 0.0000 0.5000 0.5000 x2  6 Cd 3.22, 4 Er 3.26, 2 Pb 3.29
3 Cd 0.0193 0.7445 0.5000 x4  7 Cd 3.12-3.29, 4 Er 3.23-3.30, 1 Pb 3.37
4 Cd 0.2265 0.3658 0.0000 x4  6 Cd 3.12-3.22, 4 Er 3.25-3.35, 2 Pb 3.37
5 Pb 0.0000 0.0000 0.5000 x2  4 Er 3.13, 8 Cd 3.29-3.37


## Pm3YTl4Se8 (PBE)

Data for a geometry-optimized Pm3YTl4Se8 structure.

Summary:
Its uncorrected formation energy is -1.386 eV per atom. The value obtained for the total magnetization is 0.00 μB per atom.

a = 8.5392 Å, b = 8.5392 Å, c = 23.2818 Å
α = 90.00°, β = 90.00°, γ = 120.00°
With the nearest neighbours (Å) after each atom.
Space group R-3m (No. 166, hexagonal axes)
Inequivalent atoms, fractional coordinates:
1 Pm 0.0000 0.5000 0.0000 x9  6 Se 2.96
2 Y 0.0000 0.0000 0.0000 x3  6 Se 2.91
3 Tl 0.0000 0.0000 0.5000 x3  6 Se 3.38
4 Tl 0.0000 0.5000 0.5000 x9  6 Se 3.34
5 Se 0.0000 0.0000 0.2632 x6  3 Pm 2.96
6 Se 0.0054 0.5027 0.7359 x18  1 Y 2.91, 2 Pm 2.96


## EuNiP2 (PBE)

Data for a geometry-optimized EuNiP2 structure.

Summary:
Its energy of formation is -0.203 eV/atom. The value obtained for the total magnetization is 1.90 μB per atom.

a = 3.6837 Å, b = 3.6837 Å, c = 22.3046 Å
α = 90.00°, β = 90.00°, γ = 120.00°
With the nearest neighbours (Å) after each atom.
Space group R-3m (No. 166, hexagonal axes)
Inequivalent atoms, fractional coordinates:
1 Eu 0.0000 0.0000 0.0000 x3  2 P 2.89
2 Ni 0.0000 0.0000 0.5000 x3  6 P 2.28
3 P 0.0000 0.0000 0.1296 x6  3 Ni 2.28


## CrHIrRu2 (PBE)

Data for a geometry-optimized CrHIrRu2 structure.

Summary:
The value obtained for the total magnetization is 0.13 μB per atom. For the total energy, the calculation gives -40.3 eV for the cell shown.

a = 3.8586 Å, b = 3.8586 Å, c = 3.8564 Å
α = 90.00°, β = 90.00°, γ = 90.00°
With the nearest neighbours (Å) after each atom.
Space group P4/mmm (No. 123)
Inequivalent atoms, fractional coordinates:
1 Cr 0.0000 0.0000 0.0000 x1  8 Ru 2.73, 4 Ir 2.73
2 H 0.5000 0.5000 0.5000 x1  2 Ir 1.93, 4 Ru 1.93
3 Ir 0.5000 0.5000 0.0000 x1  2 H 1.93
4 Ru 0.0000 0.5000 0.5000 x2  2 H 1.93